Run 1
MnSeI2N: relaxed, PBE.

Summary:
For the total magnetization, the calculation gives 4.88 μB per formula unit.

Cell lengths 6.035, 6.035, 3.722 Å; angles 90.00, 90.00, 90.00 degrees
Space group P4/mmm (No. 123)
Asymmetric unit:
Mn (0.000, 0.000, 0.000) x1
Se (0.500, 0.500, 0.500) x1
I (0.000, 0.500, 0.500) x2
N (0.500, 0.500, 0.000) x1

Run 2
MnSeI2N: relaxed, PBE.

Summary:
For the total magnetization, the calculation gives 1.67 μB per formula unit.

Cell lengths 5.530, 5.530, 3.569 Å; angles 90.00, 90.00, 90.00 degrees
Space group P4/mmm (No. 123)
Asymmetric unit:
Mn (0.000, 0.000, 0.000) x1
Se (0.500, 0.500, 0.500) x1
I (0.000, 0.500, 0.000) x2
N (0.000, 0.000, 0.500) x1

Which of them is most stable? Easy: run 2.

Run 1
MnSe2IN: relaxed, PBE.

Summary:
For the total magnetization, the calculation gives 4.93 μB per formula unit.

Cell lengths 5.477, 5.477, 3.939 Å; angles 90.00, 90.00, 90.00 degrees
Space group P4/mmm (No. 123)
Asymmetric unit:
Mn (0.000, 0.000, 0.000) x1
Se (0.000, 0.500, 0.500) x2
I (0.500, 0.500, 0.500) x1
N (0.500, 0.500, 0.000) x1

Run 2
MnSe2IN: relaxed, PBE.

Summary:
For the total magnetization, the calculation gives 1.75 μB per formula unit.

Cell lengths 5.158, 5.158, 3.564 Å; angles 90.00, 90.00, 90.00 degrees
Space group P4/mmm (No. 123)
Asymmetric unit:
Mn (0.000, 0.000, 0.000) x1
Se (0.000, 0.500, 0.000) x2
I (0.500, 0.500, 0.500) x1
N (0.000, 0.000, 0.500) x1

Which of them is most stable? Easy: run 2.

Run 1
MnSiI2N: relaxed, PBE.

Summary:
For the total magnetization, the calculation gives 4.70 μB per formula unit.

Cell lengths 5.760, 5.760, 3.398 Å; angles 90.00, 90.00, 90.00 degrees
Space group P4/mmm (No. 123)
Asymmetric unit:
Mn (0.000, 0.000, 0.000) x1
Si (0.500, 0.500, 0.500) x1
I (0.000, 0.500, 0.500) x2
N (0.500, 0.500, 0.000) x1

Run 2
MnSiI2N: relaxed, PBE.

Summary:
For the total magnetization, the calculation gives 0.00 μB per formula unit.

Cell lengths 5.124, 5.124, 4.373 Å; angles 90.00, 90.00, 90.00 degrees
Space group P4/mmm (No. 123)
Asymmetric unit:
Mn (0.000, 0.000, 0.000) x1
Si (0.000, 0.000, 0.500) x1
I (0.000, 0.500, 0.000) x2
N (0.500, 0.500, 0.500) x1

Which of them is most stable? Easy: run 1.